# 1
Density functional theory data (PBE) for a geometry-optimized Tb2OsAuC structure.

The structure in POSCAR format:
```
Tb2OsAuC
1.0
5.0280 0.0000 0.0000
0.0000 5.0280 0.0000
0.0000 0.0000 3.8826
Tb Os Au C
2 1 1 1
Direct
0.0000 0.5000 0.0000
0.5000 0.0000 0.0000
0.0000 0.0000 0.5000
0.5000 0.5000 0.5000
0.0000 0.0000 0.0000
```

Output
magnetic moment: 0.00 Bohr magnetons per cell
E_tot: -7.13 eV per atom
space-group type: P4/mmm (123)
DOS at the Fermi energy: 1.81 states/eV per cell
formation energy from the elements: -0.5312 eV/atom

***

# 2
Density functional theory data (PBE) for a geometry-optimized Th8Os3Au3C structure.

The structure in POSCAR format:
```
Th8Os3Au3C
1.0
7.0681 -4.0881 0.0000
7.0681 4.0881 0.0000
-4.7107 0.0000 7.2671
Th Os Au C
8 3 3 1
Direct
0.2251 0.2251 0.7048
0.2248 0.7545 0.7047
0.2455 0.7752 0.2953
0.2604 0.2604 0.2810
0.7396 0.7396 0.7190
0.7545 0.2248 0.7047
0.7752 0.2455 0.2953
0.7749 0.7749 0.2952
0.0000 0.5000 0.5000
0.5000 0.0000 0.5000
0.5000 0.5000 0.5000
0.0000 0.0000 0.0000
0.0000 0.5000 0.0000
0.5000 0.0000 0.0000
0.0000 0.0000 0.5000
```

Output
magnetic moment: 0.00 Bohr magnetons per cell
E_tot: -7.85 eV per atom
space-group type: C2/m (12)
DOS at the Fermi energy: 11.77 states/eV per cell
formation energy from the elements: -0.3790 eV/atom

***

Which of these has the lowest formation energy from the elements? Tb2OsAuC